Here is a relaxed structure of Er6Hg2H from the Alexandria database. Energies are from PBE.

Cell lengths 6.5207, 6.7993, 11.9620 Å; angles 90.00, 120.64, 90.00 degrees
Last column: nearest neighbours and their distance in Å.
Sites, in units of the cell vectors:
Er  0.1213  0.0026  0.2485  1 H 2.75, 2 Hg 3.04-3.06
Er  0.1213  0.4974  0.7485  1 H 2.75, 2 Hg 3.04-3.06
Er  0.2013  0.1900  0.5359  1 H 2.55
Er  0.2013  0.3100  0.0359  1 H 2.55
Er  0.3621  0.6934  0.5371  1 H 2.40
Er  0.3621  0.8066  0.0371  1 H 2.40
Er  0.6379  0.1934  0.9629  1 H 2.40
Er  0.6379  0.3066  0.4629  1 H 2.40
Er  0.7987  0.6900  0.9641  1 H 2.55
Er  0.7987  0.8100  0.4641  1 H 2.55
Er  0.8787  0.5026  0.2515  1 H 2.75, 2 Hg 3.04-3.06
Er  0.8787  0.9974  0.7515  1 H 2.75, 2 Hg 3.04-3.06
Hg  0.3396  0.6045  0.2563  7 Er 3.02-3.34
Hg  0.3396  0.8955  0.7563  7 Er 3.02-3.34
Hg  0.6604  0.1045  0.2437  7 Er 3.02-3.34
Hg  0.6604  0.3955  0.7437  7 Er 3.02-3.34
H  0.5000  0.0000  0.5000  4 Er 2.40-2.55
H  0.5000  0.5000  0.0000  4 Er 2.40-2.55

Properties
Symmetry = P2_1/c, No. 14
E = -33.6 eV/f.u.
Calculated volume = 25.4 A^3/atom